Record 1
A plane-wave DFT calculation with SCAN was carried out for CsHfI2N at its PBEsol-relaxed geometry.

abc: 5.4938 5.4938 8.1079
angles: 90.00 90.00 90.00
With the nearest neighbours (Å) after each atom.
Fractional coordinates of all 5 atoms:
Cs 0.0000 0.0000 0.0000  4 N 3.88, 2 Hf 4.05
Hf 0.0000 0.0000 0.5000  4 I 2.75
I 0.0000 0.5000 0.5000  2 Hf 2.75
I 0.5000 0.0000 0.5000  2 Hf 2.75
N 0.5000 0.5000 0.0000  4 Cs 3.88

Output
The calculation puts the formation energy without anion corrections at 0.70 eV/atom. Its space group is P4/mmm, No. 123.



Record 2
A plane-wave DFT calculation with SCAN was carried out for CuPO4 at its PBEsol-relaxed geometry.

abc: 4.6703 8.5313 7.6525
angles: 90.00 117.90 90.00
With the nearest neighbours (Å) after each atom.
Fractional coordinates of all 24 atoms:
Cu 0.0000 0.0000 0.0000  4 O 1.82-1.86
Cu 0.0000 0.5000 0.5000  4 O 1.82-1.86
Cu 0.5000 0.0000 0.5000  4 O 1.83-1.84
Cu 0.5000 0.5000 0.0000  4 O 1.83-1.84
P 0.1403 0.1767 0.6875  4 O 1.54-1.57
P 0.1403 0.3233 0.1875  4 O 1.54-1.57
P 0.8597 0.6767 0.8125  4 O 1.54-1.57
P 0.8597 0.8233 0.3125  4 O 1.54-1.57
O 0.1338 0.1409 0.2093  1 P 1.57
O 0.1338 0.3591 0.7093  1 P 1.57
O 0.1749 0.6260 0.9933  1 P 1.54
O 0.1749 0.8740 0.4933  1 P 1.54
O 0.2122 0.1082 0.8898  1 P 1.54
O 0.2122 0.3918 0.3898  1 P 1.54
O 0.4454 0.1416 0.6623  1 P 1.55
O 0.4454 0.3584 0.1623  1 P 1.55
O 0.5546 0.6416 0.8377  1 P 1.55
O 0.5546 0.8584 0.3377  1 P 1.55
O 0.7878 0.6082 0.6102  1 P 1.54
O 0.7878 0.8918 0.1102  1 P 1.54
O 0.8251 0.1260 0.5067  1 P 1.54
O 0.8251 0.3740 0.0067  1 P 1.54
O 0.8662 0.6409 0.2907  1 P 1.57
O 0.8662 0.8591 0.7907  1 P 1.57

Output
The calculation puts the formation energy without anion corrections at -1.64 eV/atom. Its space group is P2_1/c, No. 14.



Record 3
A plane-wave DFT calculation with SCAN was carried out for SrHfN2 at its PBEsol-relaxed geometry.

abc: 3.9982 3.9982 8.1799
angles: 90.00 90.00 90.00
With the nearest neighbours (Å) after each atom.
Fractional coordinates of all 8 atoms:
Sr 0.2500 0.2500 0.1429  1 N 2.51
Sr 0.7500 0.7500 0.8571  1 N 2.51
Hf 0.2500 0.2500 0.5925  5 N 1.99-2.14
Hf 0.7500 0.7500 0.4075  5 N 1.99-2.14
N 0.2500 0.2500 0.8358  1 Hf 1.99
N 0.2500 0.7500 0.5000  4 Hf 2.14
N 0.7500 0.2500 0.5000  4 Hf 2.14
N 0.7500 0.7500 0.1642  1 Hf 1.99

Output
The calculation puts the formation energy without anion corrections at -1.68 eV/atom. Its space group is P4/nmm, No. 129.



Record 4
A plane-wave DFT calculation with SCAN was carried out for FePt2Cl at its PBEsol-relaxed geometry.

abc: 2.8009 2.8009 7.6269
angles: 90.00 90.00 90.00
With the nearest neighbours (Å) after each atom.
Fractional coordinates of all 4 atoms:
Fe 0.0000 0.0000 0.0000  8 Pt 2.61, 4 Fe 2.80
Pt 0.5000 0.5000 0.2225  4 Fe 2.61, 4 Pt 2.80, 4 Cl 2.90
Pt 0.5000 0.5000 0.7775  4 Fe 2.61, 4 Pt 2.80, 4 Cl 2.90
Cl 0.0000 0.0000 0.5000  4 Cl 2.80, 8 Pt 2.90

Output
The calculation puts the formation energy without anion corrections at 0.08 eV/atom. As for the energy relative to the lowest polymorph listed for this composition: 0 meV per atom. Its space group is P4/mmm, No. 123.